10
Lattice="-3.9975 -1.2862 -6.6873 6.2261 -3.8314 -2.9849 -1.2438 -3.0587 1.3318" Properties=species:S:1:pos:R:3 comment="BiSb2Pt2 (PBE, relaxed)" e_form_raw_mev_per_atom=-143 final_energy_ev_per_atom=-4.98 relative_energy_mev_per_atom=0.0 pbc="T T T"
Pt 0.4415 -3.5320 -7.6996
Pt 3.9383 -3.8108 -5.0741
Pt -1.7097 -1.3068 -4.5981
Pt 1.7871 -1.5856 -1.9726
Bi 1.1143 -2.5588 -4.8361
Bi 0.0000 0.0000 0.0000
Sb -1.0219 -2.5705 -2.0988
Sb 2.8397 -4.2453 -2.3391
Sb -1.8548 -3.9310 -6.0013
Sb 2.0067 -5.6058 -6.2416